DFT (GGA-PBE) results for crystalline LaSc2Cu2Ge2 at its relaxed geometry.

As for the spin magnetization: 0.000 μB/cell. The electronic total energy is -5.554 eV per atom.

The structure belongs to space group R-3m (No. 166, hexagonal axes); the cell edges are 4.3752, 4.3752 and 25.0481 Å and the angles 90.00°, 90.00° and 120.00°. The distinct sites, in fractional coordinates, are La at (0.0000, 0.0000, 0.0000), Sc at (0.0000, 0.0000, 0.1359), Cu at (0.0000, 0.0000, 0.4404) and Ge at (0.0000, 0.0000, 0.2547).

DFT (GGA-PBE) results for crystalline La2SmCu2Ge2 at its relaxed geometry.

As for the spin magnetization: 0.000 μB/cell. The electronic total energy is -5.080 eV per atom.

The structure belongs to space group R-3m (No. 166, hexagonal axes); the cell edges are 4.3282, 4.3282 and 29.5152 Å and the angles 90.00°, 90.00° and 120.00°. The distinct sites, in fractional coordinates, are La at (0.0000, 0.0000, 0.1284), Sm at (0.0000, 0.0000, 0.0000), Cu at (0.0000, 0.0000, 0.3978) and Ge at (0.0000, 0.0000, 0.2681).

DFT (GGA-PBE) results for crystalline LaSm2Cu2Ge2 at its relaxed geometry.

As for the spin magnetization: 0.000 μB/cell. The electronic total energy is -5.046 eV per atom.

The structure belongs to space group R-3m (No. 166, hexagonal axes); the cell edges are 4.3560, 4.3560 and 29.3610 Å and the angles 90.00°, 90.00° and 120.00°. The distinct sites, in fractional coordinates, are La at (0.0000, 0.0000, 0.0000), Sm at (0.0000, 0.0000, 0.1272), Cu at (0.0000, 0.0000, 0.4051) and Ge at (0.0000, 0.0000, 0.2625).

Number 1: energy of formation -0.552 eV per atom, volume 19.77 A^3/atom. Number 2: energy of formation -0.509 eV per atom, volume 22.80 A^3/atom. Number 3: energy of formation -0.504 eV per atom, volume 22.97 A^3/atom.